1.
The following is a GGA-PBEsol calculation of an optimized crystal structure of KHg2Au, from the Alexandria database.

Computed properties:
Energy above the lowest structure with this stoichiometry, eV/atom: 0.0559
ΔH_f (0 K), eV per formula unit: -0.5
Electronic total energy, eV/atom: -1.6710

Cell lengths 3.290, 4.974, 6.057 Å; angles 90.00, 90.27, 90.00 degrees
Fractional positions:
1 K 0.000 0.000 0.000
2 Hg 0.498 0.500 0.740
3 Hg 0.502 0.500 0.260
4 Au 0.500 0.000 0.500


2.
The following is a GGA-PBEsol calculation of an optimized crystal structure of Sr2La2Cr3MoO12, from the Alexandria database.

Computed properties:
Formation energy from raw total energies, eV per formula unit: -52.93
Electronic total energy, eV/atom: -8.6395

Cell lengths 5.464, 5.464, 9.448 Å; angles 106.09, 106.09, 59.88 degrees
Fractional positions:
1 Sr 0.124 0.124 0.367
2 Sr 0.876 0.876 0.633
3 La 0.379 0.379 0.119
4 La 0.621 0.621 0.881
5 Cr 0.000 0.000 0.000
6 Cr 0.248 0.248 0.749
7 Cr 0.752 0.752 0.251
8 Mo 0.500 0.500 0.500
9 O 0.139 0.634 0.359
10 O 0.152 0.636 0.864
11 O 0.159 0.159 0.908
12 O 0.352 0.352 0.601
13 O 0.364 0.848 0.136
14 O 0.366 0.861 0.641
15 O 0.634 0.139 0.359
16 O 0.636 0.152 0.864
17 O 0.648 0.648 0.399
18 O 0.841 0.841 0.092
19 O 0.848 0.364 0.136
20 O 0.861 0.366 0.641


3.
The following is a GGA-PBEsol calculation of an optimized crystal structure of Na2ZnH4Se2O10, from the Alexandria database.

Computed properties:
Electronic total energy, eV/atom: -5.2358

Cell lengths 5.577, 5.942, 7.151 Å; angles 108.72, 98.56, 108.17 degrees
Fractional positions:
1 Na 0.156 0.275 0.253
2 Na 0.844 0.725 0.747
3 Zn 0.500 0.000 0.500
4 H 0.356 0.868 0.106
5 H 0.419 0.845 0.797
6 H 0.581 0.155 0.203
7 H 0.644 0.132 0.894
8 Se 0.174 0.341 0.740
9 Se 0.826 0.659 0.260
10 O 0.099 0.770 0.452
11 O 0.155 0.181 0.890
12 O 0.222 0.650 0.870
13 O 0.423 0.344 0.632
14 O 0.428 0.035 0.230
15 O 0.572 0.965 0.770
16 O 0.577 0.656 0.368
17 O 0.778 0.350 0.130
18 O 0.845 0.819 0.110
19 O 0.901 0.230 0.548


4.
The following is a GGA-PBEsol calculation of an optimized crystal structure of K3OsS, from the Alexandria database.

Computed properties:
Formation energy from raw total energies, eV per formula unit: 4.03
Electronic total energy, eV/atom: -3.1949

Cell lengths 5.908, 5.908, 5.908 Å; angles 90.00, 90.00, 90.00 degrees
Fractional positions:
1 K 0.000 0.000 0.500
2 K 0.000 0.500 0.000
3 K 0.500 0.000 0.000
4 Os 0.500 0.500 0.500
5 S 0.000 0.000 0.000


5.
The following is a GGA-PBEsol calculation of an optimized crystal structure of Ca3P2Pt2, from the Alexandria database.

Computed properties:
ΔH_f (0 K), eV per formula unit: -7.3
Electronic total energy, eV/atom: -5.5972

Cell lengths 5.486, 7.920, 12.647 Å; angles 90.00, 90.00, 90.00 degrees
Fractional positions:
1 Ca 0.119 0.108 0.105
2 Ca 0.119 0.108 0.395
3 Ca 0.119 0.392 0.605
4 Ca 0.119 0.392 0.895
5 Ca 0.352 0.736 0.250
6 Ca 0.352 0.764 0.750
7 Ca 0.648 0.236 0.250
8 Ca 0.648 0.264 0.750
9 Ca 0.881 0.608 0.105
10 Ca 0.881 0.608 0.395
11 Ca 0.881 0.892 0.605
12 Ca 0.881 0.892 0.895
13 P 0.159 0.105 0.750
14 P 0.159 0.395 0.250
15 P 0.330 0.750 0.000
16 P 0.330 0.750 0.500
17 P 0.670 0.250 0.000
18 P 0.670 0.250 0.500
19 P 0.841 0.605 0.750
20 P 0.841 0.895 0.250
21 Pt 0.393 0.057 0.590
22 Pt 0.393 0.057 0.910
23 Pt 0.393 0.443 0.090
24 Pt 0.393 0.443 0.410
25 Pt 0.607 0.557 0.590
26 Pt 0.607 0.557 0.910
27 Pt 0.607 0.943 0.090
28 Pt 0.607 0.943 0.410


6.
The following is a GGA-PBEsol calculation of an optimized crystal structure of KSr2Cd2Sb3, from the Alexandria database.

Computed properties:
Formation energy from raw total energies, eV per formula unit: -5.66
Electronic total energy, eV/atom: -3.3177

Cell lengths 12.611, 4.815, 16.247 Å; angles 90.00, 90.00, 90.00 degrees
Fractional positions:
1 K 0.093 0.250 0.049
2 K 0.407 0.750 0.549
3 K 0.593 0.250 0.451
4 K 0.907 0.750 0.951
5 Sr 0.101 0.750 0.426
6 Sr 0.135 0.250 0.783
7 Sr 0.365 0.750 0.283
8 Sr 0.399 0.250 0.926
9 Sr 0.601 0.750 0.074
10 Sr 0.635 0.250 0.717
11 Sr 0.865 0.750 0.217
12 Sr 0.899 0.250 0.574
13 Cd 0.132 0.250 0.283
14 Cd 0.197 0.250 0.578
15 Cd 0.303 0.750 0.078
16 Cd 0.368 0.750 0.783
17 Cd 0.632 0.250 0.217
18 Cd 0.697 0.250 0.922
19 Cd 0.803 0.750 0.422
20 Cd 0.868 0.750 0.717
21 Sb 0.079 0.750 0.631
22 Sb 0.125 0.750 0.193
23 Sb 0.209 0.750 0.917
24 Sb 0.291 0.250 0.417
25 Sb 0.375 0.250 0.693
26 Sb 0.421 0.250 0.131
27 Sb 0.579 0.750 0.869
28 Sb 0.625 0.750 0.307
29 Sb 0.709 0.750 0.583
30 Sb 0.791 0.250 0.083
31 Sb 0.875 0.250 0.807
32 Sb 0.921 0.250 0.369


7.
The following is a GGA-PBEsol calculation of an optimized crystal structure of HfAlIrW2, from the Alexandria database.

Computed properties:
ΔH_f (0 K), eV per formula unit: 6.7
Electronic total energy, eV/atom: -9.0711

Cell lengths 4.734, 4.734, 4.853 Å; angles 90.00, 90.00, 90.00 degrees
Fractional positions:
1 Hf 0.000 0.000 0.000
2 Al 0.500 0.500 0.000
3 Ir 0.000 0.000 0.500
4 W 0.000 0.500 0.500
5 W 0.500 0.000 0.500


8.
The following is a GGA-PBEsol calculation of an optimized crystal structure of AsC2I2, from the Alexandria database.

Computed properties:
Formation energy from raw total energies, eV per formula unit: 10.15
Electronic total energy, eV/atom: -3.5564

Cell lengths 7.098, 7.098, 3.652 Å; angles 90.00, 90.00, 90.00 degrees
Fractional positions:
1 As 0.000 0.000 0.000
2 As 0.500 0.500 0.000
3 C 0.207 0.293 0.000
4 C 0.293 0.793 0.000
5 C 0.707 0.207 0.000
6 C 0.793 0.707 0.000
7 I 0.164 0.664 0.500
8 I 0.336 0.164 0.500
9 I 0.664 0.836 0.500
10 I 0.836 0.336 0.500


9.
The following is a GGA-PBEsol calculation of an optimized crystal structure of FeIr2Cl, from the Alexandria database.

Computed properties:
Energy above the lowest structure with this stoichiometry, eV/atom: 0.0000
Formation energy from raw total energies, eV per formula unit: 2.59
Electronic total energy, eV/atom: -7.0065

Cell lengths 2.723, 4.442, 4.710 Å; angles 90.00, 90.00, 90.00 degrees
Fractional positions:
1 Fe 0.000 0.000 0.000
2 Ir 0.000 0.500 0.500
3 Ir 0.500 0.500 0.000
4 Cl 0.500 0.000 0.500


10.
The following is a GGA-PBEsol calculation of an optimized crystal structure of Ga3BSb, from the Alexandria database.

Computed properties:
Formation energy from raw total energies, eV per formula unit: 7.98
Electronic total energy, eV/atom: -2.7222

Cell lengths 5.263, 5.263, 5.263 Å; angles 90.00, 90.00, 90.00 degrees
Fractional positions:
1 Ga 0.000 0.000 0.500
2 Ga 0.000 0.500 0.000
3 Ga 0.500 0.000 0.000
4 B 0.500 0.500 0.500
5 Sb 0.000 0.000 0.000


11.
The following is a GGA-PBEsol calculation of an optimized crystal structure of La2Rh2I, from the Alexandria database.

Computed properties:
Formation energy from raw total energies, eV per formula unit: -4.45
Electronic total energy, eV/atom: -6.6382

Cell lengths 4.273, 4.273, 17.252 Å; angles 90.00, 90.00, 120.00 degrees
Fractional positions:
1 La 0.000 0.000 0.108
2 La 0.000 0.000 0.392
3 La 0.000 0.000 0.608
4 La 0.000 0.000 0.892
5 Rh 0.333 0.667 0.000
6 Rh 0.333 0.667 0.500
7 Rh 0.667 0.333 0.000
8 Rh 0.667 0.333 0.500
9 I 0.333 0.667 0.250
10 I 0.667 0.333 0.750


12.
The following is a GGA-PBEsol calculation of an optimized crystal structure of ZrOs2Br, from the Alexandria database.

Computed properties:
Energy above the lowest structure with this stoichiometry, eV/atom: 0.0000
Formation energy from raw total energies, eV per formula unit: 0.96
Electronic total energy, eV/atom: -8.6087

Cell lengths 2.968, 2.968, 7.723 Å; angles 90.00, 90.00, 90.00 degrees
Fractional positions:
1 Zr 0.000 0.000 0.000
2 Os 0.000 0.000 0.530
3 Os 0.500 0.500 0.725
4 Br 0.500 0.500 0.233